Entry 1:
Here is a relaxed structure of Mg2NbIn from OQMD via LeMat-Bulk. Energies are from GGA-PBE.

Cell lengths 4.857, 4.857, 4.857 Å; angles 60.00, 60.00, 60.00 degrees
Each line ends with the local moment (μB).
Fractional coordinates of all 4 atoms:
In 0.500 0.500 0.500  -0.02
Mg 0.000 0.000 0.000  0.00
Mg 0.750 0.750 0.750  -0.01
Nb 0.250 0.250 0.250  1.65

## Properties
**Volume**: 81.0 Å³/f.u.
**E**: -3.73 eV/atom


Entry 2:
Here is a relaxed structure of MgNbIn from OQMD via LeMat-Bulk. Energies are from GGA-PBE.

Cell lengths 4.668, 4.668, 4.668 Å; angles 60.00, 60.00, 60.00 degrees
Fractional coordinates of all 3 atoms:
In 0.000 0.000 0.000
Mg 0.250 0.250 0.250
Nb 0.750 0.750 0.750

## Properties
**Volume**: 71.9 Å³/f.u.
**E**: -4.15 eV/atom